[1]
Material: BeZnSN2
Method: DFT, PBE
State: relaxed

a = 3.6742 Å, b = 3.6742 Å, c = 5.7172 Å
α = 90.00°, β = 90.00°, γ = 90.00°
With the nearest neighbours (Å) after each atom.
Space group P4/mmm (No. 123)
One atom of each set of equivalent atoms:
Be1 0.0000 0.0000 0.0000 x1  4 S 2.60
Zn1 0.5000 0.5000 0.5000 x1  4 N 1.84
S1 0.5000 0.5000 0.0000 x1  4 Be 2.60, 2 Zn 2.86
N1 0.0000 0.5000 0.5000 x2  2 Zn 1.84

Properties
- density (g cm⁻³) = 2.89
- DOS at the Fermi energy (states/eV per cell) = 2.62
- formation energy (no corrections) (eV per atom) = 1.62
- total magnetic moment (μB per cell) = 2.69

[2]
Material: ZrBeSN2
Method: DFT, PBE
State: relaxed

a = 3.5760 Å, b = 3.5760 Å, c = 4.5067 Å
α = 90.00°, β = 90.00°, γ = 90.00°
With the nearest neighbours (Å) after each atom.
Space group P4/mmm (No. 123)
One atom of each set of equivalent atoms:
Zr1 0.0000 0.0000 0.0000 x1  4 S 2.53
Be1 0.5000 0.5000 0.5000 x1  4 N 1.79
S1 0.5000 0.5000 0.0000 x1  2 Be 2.25
N1 0.0000 0.5000 0.5000 x2  2 Be 1.79

Properties
- density (g cm⁻³) = 4.62
- DOS at the Fermi energy (states/eV per cell) = 2.62
- formation energy (no corrections) (eV per atom) = 0.16
- total magnetic moment (μB per cell) = 0.00

[3]
Material: ZrBeS2N
Method: DFT, PBE
State: relaxed

a = 4.5431 Å, b = 4.5431 Å, c = 3.2904 Å
α = 90.00°, β = 90.00°, γ = 90.00°
With the nearest neighbours (Å) after each atom.
Space group P4/mmm (No. 123)
One atom of each set of equivalent atoms:
Zr1 0.0000 0.0000 0.0000 x1  8 S 2.80
Be1 0.5000 0.5000 0.5000 x1  2 N 1.65
S1 0.0000 0.5000 0.5000 x2  2 Be 2.27
N1 0.5000 0.5000 0.0000 x1  2 Be 1.65

Properties
- density (g cm⁻³) = 4.36
- DOS at the Fermi energy (states/eV per cell) = 3.47
- formation energy (no corrections) (eV per atom) = -0.22
- total magnetic moment (μB per cell) = 0.00

[4]
Material: ZrBeS2N
Method: DFT, PBE
State: relaxed

a = 5.0609 Å, b = 5.0609 Å, c = 4.0756 Å
α = 90.00°, β = 90.00°, γ = 90.00°
With the nearest neighbours (Å) after each atom.
Space group P4/mmm (No. 123)
One atom of each set of equivalent atoms:
Zr1 0.0000 0.0000 0.0000 x1  2 N 2.04
Be1 0.5000 0.5000 0.5000 x1  8 S 3.25, 4 N 3.58
S1 0.0000 0.5000 0.0000 x2  2 Zr 2.53
N1 0.0000 0.0000 0.5000 x1  2 Zr 2.04

Properties
- density (g cm⁻³) = 2.84
- DOS at the Fermi energy (states/eV per cell) = 2.23
- formation energy (no corrections) (eV per atom) = 0.37
- total magnetic moment (μB per cell) = 0.95

[5]
Material: ZrBeSN2
Method: DFT, PBE
State: relaxed

a = 4.0399 Å, b = 4.0399 Å, c = 5.4712 Å
α = 90.00°, β = 90.00°, γ = 90.00°
With the nearest neighbours (Å) after each atom.
Space group P4/mmm (No. 123)
One atom of each set of equivalent atoms:
Zr1 0.0000 0.0000 0.0000 x1  4 N 2.02
Be1 0.5000 0.5000 0.5000 x1  4 S 2.86
S1 0.0000 0.0000 0.5000 x1  2 Zr 2.74, 4 Be 2.86
N1 0.0000 0.5000 0.0000 x2  2 Zr 2.02

Properties
- density (g cm⁻³) = 2.98
- DOS at the Fermi energy (states/eV per cell) = 2.68
- formation energy (no corrections) (eV per atom) = 0.70
- total magnetic moment (μB per cell) = 0.29

[6]
Material: Be3SbN
Method: DFT, PBE
State: relaxed

a = 3.7923 Å, b = 3.7923 Å, c = 3.7923 Å
α = 90.00°, β = 90.00°, γ = 90.00°
With the nearest neighbours (Å) after each atom.
Space group Pm-3m (No. 221)
One atom of each set of equivalent atoms:
Be1 0.0000 0.0000 0.5000 x3  2 N 1.90
Sb1 0.5000 0.5000 0.5000 x1  12 Be 2.68
N1 0.0000 0.0000 0.0000 x1  6 Be 1.90

Properties
- density (g cm⁻³) = 4.96
- DOS at the Fermi energy (states/eV per cell) = 0.00
- formation energy (no corrections) (eV per atom) = 0.12
- total magnetic moment (μB per cell) = 0.00

[7]
Material: Be2SbN
Method: DFT, PBE
State: relaxed

a = 5.9150 Å, b = 5.9150 Å, c = 5.9150 Å
α = 90.00°, β = 90.00°, γ = 90.00°
With the nearest neighbours (Å) after each atom.
Space group Fm-3m (No. 225)
One atom of each set of equivalent atoms:
Be1 0.2500 0.2500 0.2500 x8  4 Sb 2.56, 4 N 2.56
Sb1 0.0000 0.0000 0.0000 x4  8 Be 2.56
N1 0.0000 0.0000 0.5000 x4  8 Be 2.56

Properties
- density (g cm⁻³) = 4.94
- DOS at the Fermi energy (states/eV per cell) = 9.54
- formation energy (no corrections) (eV per atom) = 1.40
- total magnetic moment (μB per cell) = 0.00

[8]
Material: BeSb3N
Method: DFT, PBE
State: relaxed

a = 4.6986 Å, b = 4.6986 Å, c = 4.6986 Å
α = 90.00°, β = 90.00°, γ = 90.00°
With the nearest neighbours (Å) after each atom.
Space group Pm-3m (No. 221)
One atom of each set of equivalent atoms:
Be1 0.0000 0.0000 0.0000 x1  12 Sb 3.32
Sb1 0.0000 0.5000 0.5000 x3  2 N 2.35
N1 0.5000 0.5000 0.5000 x1  6 Sb 2.35

Properties
- density (g cm⁻³) = 6.22
- DOS at the Fermi energy (states/eV per cell) = 3.37
- formation energy (no corrections) (eV per atom) = 0.92
- total magnetic moment (μB per cell) = 0.00

[9]
Material: Be2SbN2
Method: DFT, PBE
State: relaxed

a = 6.7914 Å, b = 6.7914 Å, c = 2.7605 Å
α = 90.00°, β = 90.00°, γ = 90.00°
With the nearest neighbours (Å) after each atom.
Space group P4/mbm (No. 127)
One atom of each set of equivalent atoms:
Be1 0.1071 0.3929 0.0000 x4  4 N 1.87, 1 Be 2.06
Sb1 0.0000 0.0000 0.0000 x2  2 Sb 2.76, 4 Be 2.77
N1 0.0762 0.5762 0.5000 x4  1 N 1.46

Properties
- density (g cm⁻³) = 4.38
- DOS at the Fermi energy (states/eV per cell) = 3.62
- formation energy (no corrections) (eV per atom) = 0.70
- total magnetic moment (μB per cell) = 0.00

[10]
Material: BeSbN
Method: DFT, PBE
State: relaxed

a = 12.6915 Å, b = 3.0607 Å, c = 6.2757 Å
α = 90.00°, β = 107.82°, γ = 90.00°
With the nearest neighbours (Å) after each atom.
Space group C2/m (No. 12)
One atom of each set of equivalent atoms:
Be1 0.2210 0.0000 0.3886 x4  3 N 1.63-1.73
Sb1 0.0012 0.5000 0.2493 x4  1 N 2.11
N1 0.1756 0.5000 0.3556 x4  3 Be 1.63-1.73

Properties
- density (g cm⁻³) = 4.14
- DOS at the Fermi energy (states/eV per cell) = 1.89
- formation energy (no corrections) (eV per atom) = -0.29
- total magnetic moment (μB per cell) = 0.00

[11]
Material: BeSbN2
Method: DFT, PBE
State: relaxed

a = 5.4876 Å, b = 5.4876 Å, c = 5.4876 Å
α = 90.00°, β = 90.00°, γ = 90.00°
With the nearest neighbours (Å) after each atom.
Space group Fm-3m (No. 225)
One atom of each set of equivalent atoms:
Be1 0.0000 0.0000 0.0000 x4  8 N 2.38
Sb1 0.0000 0.0000 0.5000 x4  8 N 2.38
N1 0.2500 0.2500 0.2500 x8  4 Sb 2.38, 4 Be 2.38

Properties
- density (g cm⁻³) = 6.38
- DOS at the Fermi energy (states/eV per cell) = 8.40
- formation energy (no corrections) (eV per atom) = 1.32
- total magnetic moment (μB per cell) = 0.00

[12]
Material: Be3SbN
Method: DFT, PBE
State: relaxed

a = 4.4873 Å, b = 4.4873 Å, c = 4.4873 Å
α = 90.00°, β = 90.00°, γ = 90.00°
With the nearest neighbours (Å) after each atom.
Space group Pm-3m (No. 221)
One atom of each set of equivalent atoms:
Be1 0.0000 0.0000 0.5000 x3  2 Sb 2.24
Sb1 0.0000 0.0000 0.0000 x1  6 Be 2.24
N1 0.5000 0.5000 0.5000 x1  12 Be 3.17

Properties
- density (g cm⁻³) = 2.99
- DOS at the Fermi energy (states/eV per cell) = 1.41
- formation energy (no corrections) (eV per atom) = 2.10
- total magnetic moment (μB per cell) = 0.02

[13]
Material: BeSb2N
Method: DFT, PBE
State: relaxed

a = 6.3934 Å, b = 6.3934 Å, c = 6.3934 Å
α = 90.00°, β = 90.00°, γ = 90.00°
With the nearest neighbours (Å) after each atom.
Space group Fm-3m (No. 225)
One atom of each set of equivalent atoms:
Be1 0.0000 0.0000 0.0000 x4  8 Sb 2.77
Sb1 0.2500 0.2500 0.2500 x8  4 Be 2.77, 4 N 2.77
N1 0.0000 0.0000 0.5000 x4  8 Sb 2.77

Properties
- density (g cm⁻³) = 6.77
- DOS at the Fermi energy (states/eV per cell) = 9.11
- formation energy (no corrections) (eV per atom) = 1.19
- total magnetic moment (μB per cell) = 0.00

[14]
Material: BeSb2N
Method: DFT, PBE
State: relaxed

a = 5.2878 Å, b = 5.2878 Å, c = 11.1269 Å
α = 90.00°, β = 90.00°, γ = 90.00°
With the nearest neighbours (Å) after each atom.
Space group I-42d (No. 122)
One atom of each set of equivalent atoms:
Be1 0.0000 0.0000 0.0000 x4  4 Sb 2.39
Sb1 0.2291 0.2500 0.6250 x8  2 N 2.27, 2 Be 2.39
N1 0.0000 0.0000 0.5000 x4  4 Sb 2.27

Properties
- density (g cm⁻³) = 5.69
- DOS at the Fermi energy (states/eV per cell) = 9.90
- formation energy (no corrections) (eV per atom) = 0.50
- total magnetic moment (μB per cell) = 0.00

[15]
Material: BeSbN3
Method: DFT, PBE
State: relaxed

a = 3.9860 Å, b = 3.9860 Å, c = 3.9860 Å
α = 90.00°, β = 90.00°, γ = 90.00°
With the nearest neighbours (Å) after each atom.
Space group Pm-3m (No. 221)
One atom of each set of equivalent atoms:
Be1 0.0000 0.0000 0.0000 x1  12 N 2.82
Sb1 0.5000 0.5000 0.5000 x1  6 N 1.99
N1 0.0000 0.5000 0.5000 x3  2 Sb 1.99

Properties
- density (g cm⁻³) = 4.53
- DOS at the Fermi energy (states/eV per cell) = 3.05
- formation energy (no corrections) (eV per atom) = 1.90
- total magnetic moment (μB per cell) = 0.00